[1]
# K2PmGaSe4

Crystalline K2PmGaSe4 at its relaxed geometry (PBE, Alexandria).

Calculated total energy (eV/atom): -4.1386

Unit cell a=8.6331 b=8.6331 c=8.8261 alpha=120.09 beta=120.09 gamma=91.66
Last column: nearest neighbours and their distance in Å.
Fractional coordinates of all 16 atoms:
K1 0.5000 0.0000 0.0000  6 Se 3.11-3.23
K2 0.5000 0.0000 0.5000  6 Se 3.11-3.23
K3 0.0000 0.0000 0.5000  6 Se 3.30-3.43
K4 0.5000 0.5000 0.0000  6 Se 3.30-3.43
Pm1 0.0000 0.5000 0.0000  6 Se 2.93-3.04
Pm2 0.0000 0.5000 0.5000  6 Se 2.93-3.04
Ga1 0.5000 0.5000 0.5000  6 Se 2.60-2.90
Ga2 0.0000 0.0000 0.0000  6 Se 2.60-2.90
Se1 0.2150 0.7471 0.9785  1 Ga 2.90, 2 Pm 2.93-2.95, 2 K 3.11-3.20
Se2 0.7529 0.2850 0.5215  1 Ga 2.90, 2 Pm 2.93-2.95, 2 K 3.11-3.20
Se3 0.2471 0.7150 0.4785  1 Ga 2.90, 2 Pm 2.93-2.95, 2 K 3.11-3.20
Se4 0.7850 0.2529 0.0215  1 Ga 2.90, 2 Pm 2.93-2.95, 2 K 3.11-3.20
Se5 0.7759 0.7604 0.9683  2 Ga 2.60-2.88
Se6 0.7396 0.7241 0.5317  2 Ga 2.60-2.88
Se7 0.2604 0.2759 0.4683  2 Ga 2.60-2.88
Se8 0.2241 0.2396 0.0317  2 Ga 2.60-2.88

***

[2]
# K3Pm3GaTe8

Crystalline K3Pm3GaTe8 at its relaxed geometry (PBE, Alexandria).

Calculated total energy (eV/atom): -4.1095

Unit cell a=8.8937 b=8.8922 c=9.9796 alpha=116.49 beta=90.00 gamma=120.01
Last column: nearest neighbours and their distance in Å.
Fractional coordinates of all 15 atoms:
K1 0.0000 0.0000 0.0000  6 Te 3.54-3.57
K2 0.0000 0.5000 0.0000  6 Te 3.54-3.57
K3 0.5000 0.5000 0.0000  6 Te 3.54-3.57
Pm1 0.5000 0.0000 0.5000  6 Te 3.16
Pm2 0.5000 0.5000 0.5000  6 Te 3.16
Pm3 0.0000 0.5000 0.5000  6 Te 3.16
Ga1 0.0000 0.0000 0.5000  6 Te 2.92-2.96
Te1 0.2615 0.5229 0.2849  3 Pm 3.16, 1 K 3.54
Te2 0.7385 0.4771 0.7151  3 Pm 3.16, 1 K 3.54
Te3 0.7793 0.5586 0.3011  1 Ga 2.92, 2 Pm 3.16
Te4 0.2207 0.4414 0.6989  1 Ga 2.92, 2 Pm 3.16
Te5 0.7765 0.0225 0.2992  1 Ga 2.96, 2 Pm 3.16
Te6 0.2235 0.9775 0.7008  1 Ga 2.96, 2 Pm 3.16
Te7 0.2460 0.0225 0.2992  1 Ga 2.96, 2 Pm 3.16
Te8 0.7540 0.9775 0.7008  1 Ga 2.96, 2 Pm 3.16

***

[3]
# KPmGaTe3

Crystalline KPmGaTe3 at its relaxed geometry (PBE, Alexandria).

Calculated total energy (eV/atom): -4.0099

Unit cell a=4.7406 b=9.5557 c=10.5592 alpha=105.23 beta=90.00 gamma=90.00
Last column: nearest neighbours and their distance in Å.
Fractional coordinates of all 12 atoms:
K1 0.2500 0.1949 0.2303  7 Te 3.58-4.00
K2 0.7500 0.8051 0.7697  7 Te 3.58-4.00
Pm1 0.2500 0.6615 0.1373  6 Te 3.11-3.31
Pm2 0.7500 0.3385 0.8627  6 Te 3.11-3.31
Ga1 0.2500 0.0917 0.5989  4 Te 2.72-2.90
Ga2 0.7500 0.9083 0.4011  4 Te 2.72-2.90
Te1 0.7500 0.8908 0.1394  1 Ga 2.72
Te2 0.2500 0.1092 0.8606  1 Ga 2.72
Te3 0.2500 0.7869 0.4604  3 Ga 2.78-2.90
Te4 0.7500 0.2131 0.5396  3 Ga 2.78-2.90
Te5 0.7500 0.4497 0.1674  3 Pm 3.11-3.19
Te6 0.2500 0.5503 0.8326  3 Pm 3.11-3.19